The following is a PBE calculation of a geometry-optimized LiCa2HfS4 structure, from the Alexandria database.

a = 3.818 Å, b = 6.670 Å, c = 6.649 Å
α = 108.87°, β = 90.00°, γ = 90.00°
Sites, in units of the cell vectors:
Li 0.000 0.000 0.000
Ca 0.500 0.000 0.500
Ca 0.000 0.500 0.500
Hf 0.500 0.500 0.000
S 0.500 0.253 0.227
S 0.500 0.747 0.773
S 0.000 0.261 0.772
S 0.000 0.739 0.228

## Properties
ΔE_f (raw): -1.76 eV/atom
Size of the total moment: 0.00 μB/f.u.